[1]
The following is a PBE calculation of a relaxed structure of TmFe5C2, from Alexandria.

```
TmFe5C2
1.0
3.3435 0.0000 0.0000
1.6717 5.1899 0.1709
1.6717 1.1215 5.0702
Fe C Tm
5 2 1
Direct
0.3375 0.8500 0.4749
0.0000 0.5000 0.5000
0.3375 0.4749 0.8500
0.6625 0.1500 0.5251
0.6625 0.5251 0.1500
0.7512 0.7488 0.7488
0.2488 0.2512 0.2512
0.0000 0.0000 0.0000
```

- E_tot (eV/atom) = -8.17
- space-group type = Immm, No. 71
- DOS at the Fermi energy (states/eV/cell) = 6.07

[2]
The following is a PBE calculation of a relaxed structure of Mg2MnAs, from Alexandria.

```
Mg2MnAs
1.0
3.9769 0.0000 0.0000
0.0000 4.2111 0.0000
0.0000 0.0000 4.2111
As Mg Mn
1 2 1
Direct
0.5000 0.0000 0.5000
0.0000 0.5000 0.5000
0.0000 0.0000 0.0000
0.5000 0.5000 0.0000
```

- E_tot (eV/atom) = -4.33
- space-group type = P4/mmm, No. 123
- DOS at the Fermi energy (states/eV/cell) = 1.85

[3]
The following is a PBE calculation of a relaxed structure of Co2Pd9Pt, from Alexandria.

```
Co2Pd9Pt
1.0
-1.2562 3.6207 0.6824
-2.7565 -0.4452 -2.7123
-7.3529 -4.0857 8.1432
Co Pd Pt
2 9 1
Direct
0.0000 0.0000 0.6662
0.0000 0.0000 0.3338
0.0000 0.5000 0.5000
0.5000 0.5000 0.3373
0.5000 0.0000 0.8259
0.0000 0.5000 0.8259
0.5000 0.5000 0.0000
0.5000 0.0000 0.5000
0.5000 0.5000 0.6627
0.5000 0.0000 0.1741
0.0000 0.5000 0.1741
0.0000 0.0000 0.0000
```

- E_tot (eV/atom) = -5.56
- space-group type = P4/mmm, No. 123
- DOS at the Fermi energy (states/eV/cell) = 18.01

[4]
The following is a PBE calculation of a relaxed structure of YMn2W, from Alexandria.

```
YMn2W
1.0
-2.0292 -1.5273 3.8296
-1.9646 -4.1536 0.0594
1.9137 -3.4126 2.4100
Y Mn W
1 2 1
Direct
0.2500 0.2500 0.2500
0.7500 0.7500 0.7500
0.0000 0.0000 0.0000
0.5000 0.5000 0.5000
```

- energy above the lowest structure with this stoichiometry (meV per atom) = 345.2
- E_tot (eV/atom) = -8.86
- space-group type = F-43m, No. 216
- DOS at the Fermi energy (states/eV/cell) = 4.38

[5]
The following is a PBE calculation of a relaxed structure of Ba2Mg3, from Alexandria.

```
Ba2Mg3
1.0
6.7643 -0.0231 0.0000
-3.2187 5.9495 0.0000
-1.7728 -2.9632 9.7649
Ba Mg
4 6
Direct
0.9729 0.1381 0.4059
0.7322 0.5669 0.5941
0.3881 0.7229 0.9059
0.8169 0.4822 0.0941
0.3919 0.0596 0.2505
0.3914 0.5591 0.2495
0.8091 0.1414 0.7495
0.0940 0.0940 0.0000
0.3440 0.8440 0.5000
0.3096 0.1419 0.7505
```

- energy above the lowest structure with this stoichiometry (meV per atom) = 0.0
- E_tot (eV/atom) = -1.75
- space-group type = Fdd2, No. 43
- DOS at the Fermi energy (states/eV/cell) = 10.52

[6]
The following is a PBE calculation of a relaxed structure of BaCdNi, from Alexandria.

```
BaCdNi
1.0
6.3327 -0.0723 0.0770
5.3090 3.4518 0.1145
1.0237 0.2598 3.5147
Ni Cd Ba
1 1 1
Direct
0.7076 0.7076 0.2924
0.2865 0.2865 0.7135
0.0059 0.0059 0.9941
```

- E_tot (eV/atom) = -2.79
- space-group type = I4mm, No. 107
- DOS at the Fermi energy (states/eV/cell) = 2.52